VASP calculation (PBE) on an optimized crystal structure of CaB2C.

Results
- E (eV per formula unit) = -24.1
- size of the total moment (μB/cell) = 0.00
- crystal system = orthorhombic
- energy of formation from the pure elements (kJ/mol of formula units) = 47

a b c (Å): 9.2823 9.2823 3.0522
angles (deg): 90.00 90.00 161.55
Fractional positions:
Ca 0.1131 0.8869 0.7500
Ca 0.8869 0.1131 0.2500
B 0.2497 0.7503 0.2500
B 0.4909 0.5091 0.7500
B 0.5091 0.4909 0.2500
B 0.7503 0.2497 0.7500
C 0.2975 0.7025 0.7500
C 0.7025 0.2975 0.2500